[1]
! Li3MgPd3O8 PBE relaxed; values from VASP
! Formation energy from raw total energies, eV/atom: -1.12
&SYSTEM
  ibrav = 0, nat = 15, ntyp = 4
/
ATOMIC_SPECIES
Li 6.94 Li.upf
Mg 24.30 Mg.upf
Pd 106.42 Pd.upf
O 16.00 O.upf
ATOMIC_POSITIONS crystal
Li 0.000 0.000 0.000
Li 0.000 0.500 0.500
Li 0.500 0.000 0.500
Mg 0.000 0.000 0.500
Pd 0.000 0.500 0.000
Pd 0.500 0.000 0.000
Pd 0.500 0.500 0.500
O 0.231 0.731 0.250
O 0.235 0.235 0.217
O 0.235 0.235 0.749
O 0.269 0.769 0.750
O 0.731 0.231 0.250
O 0.765 0.765 0.251
O 0.765 0.765 0.783
O 0.769 0.269 0.750
CELL_PARAMETERS angstrom
5.335 -3.007 0.000
5.335 3.007 0.000
-3.307 0.000 4.976

[2]
! YAs2Ru PBE relaxed; values from VASP
! ΔE to the lowest computed polymorph, kJ/mol of formula units: 56
! ΔH_f (0 K), eV/atom: -0.58
&SYSTEM
  ibrav = 0, nat = 4, ntyp = 3
/
ATOMIC_SPECIES
Y 88.91 Y.upf
As 74.92 As.upf
Ru 101.07 Ru.upf
ATOMIC_POSITIONS crystal
Y 0.000 0.000 0.000
As 0.372 0.500 0.746
As 0.628 0.500 0.254
Ru 0.500 0.000 0.500
CELL_PARAMETERS angstrom
4.058 0.000 0.000
0.000 4.111 0.000
-0.625 0.000 4.877

[3]
! ReMo2Pb PBE relaxed; values from VASP
! ΔH_f (0 K), eV/atom: 1.03
&SYSTEM
  ibrav = 0, nat = 8, ntyp = 3
/
ATOMIC_SPECIES
Re 186.21 Re.upf
Mo 95.94 Mo.upf
Pb 207.20 Pb.upf
ATOMIC_POSITIONS crystal
Re 0.000 0.000 0.000
Re 0.750 0.250 0.500
Mo 0.066 0.625 0.941
Mo 0.375 0.316 0.441
Mo 0.684 0.125 0.059
Mo 0.875 0.934 0.559
Pb 0.250 0.750 0.500
Pb 0.500 0.500 0.000
CELL_PARAMETERS angstrom
-3.785 3.785 2.787
3.785 -3.785 2.787
3.785 3.785 -2.787

[4]
! BaAlIO2 PBE relaxed; values from VASP
! Formation energy from raw total energies, eV/atom: -1.32
! ΔE to the lowest computed polymorph, kJ/mol of formula units: 0
&SYSTEM
  ibrav = 0, nat = 5, ntyp = 4
/
ATOMIC_SPECIES
Ba 137.33 Ba.upf
Al 26.98 Al.upf
I 126.90 I.upf
O 16.00 O.upf
ATOMIC_POSITIONS crystal
Ba 0.000 0.000 0.000
Al 0.500 0.500 0.500
I 0.500 0.500 0.000
O 0.000 0.500 0.500
O 0.500 0.000 0.500
CELL_PARAMETERS angstrom
4.353 0.000 0.000
0.000 4.353 0.000
0.000 0.000 5.212

[5]
! ScBi3As PBE relaxed; values from VASP
! ΔE to the lowest computed polymorph, kJ/mol of formula units: 11
! ΔH_f (0 K), eV/atom: 0.50
&SYSTEM
  ibrav = 0, nat = 5, ntyp = 3
/
ATOMIC_SPECIES
Sc 44.96 Sc.upf
Bi 208.98 Bi.upf
As 74.92 As.upf
ATOMIC_POSITIONS crystal
Sc 0.000 0.000 0.000
Bi 0.000 0.000 0.500
Bi 0.000 0.500 0.000
Bi 0.500 0.000 0.000
As 0.500 0.500 0.500
CELL_PARAMETERS angstrom
5.552 0.000 0.000
0.000 5.552 0.000
0.000 0.000 5.552

[6]
! RbSb3As3 PBE relaxed; values from VASP
! Formation energy from raw total energies, eV/atom: 0.07
&SYSTEM
  ibrav = 0, nat = 14, ntyp = 3
/
ATOMIC_SPECIES
Rb 85.47 Rb.upf
Sb 121.76 Sb.upf
As 74.92 As.upf
ATOMIC_POSITIONS crystal
Rb 0.000 0.000 0.000
Rb 0.500 0.500 0.500
Sb 0.000 0.250 0.500
Sb 0.000 0.750 0.500
Sb 0.250 0.500 0.000
Sb 0.500 0.000 0.250
Sb 0.500 0.000 0.750
Sb 0.750 0.500 0.000
As 0.000 0.500 0.250
As 0.000 0.500 0.750
As 0.250 0.000 0.500
As 0.500 0.250 0.000
As 0.500 0.750 0.000
As 0.750 0.000 0.500
CELL_PARAMETERS angstrom
8.029 0.000 0.000
0.000 8.029 0.000
0.000 0.000 8.029

[7]
! Zr2TeCl PBE relaxed; values from VASP
! Formation energy from raw total energies, eV/atom: -0.54
! ΔE to the lowest computed polymorph, kJ/mol of formula units: 123
&SYSTEM
  ibrav = 0, nat = 4, ntyp = 3
/
ATOMIC_SPECIES
Zr 91.22 Zr.upf
Te 127.60 Te.upf
Cl 35.45 Cl.upf
ATOMIC_POSITIONS crystal
Zr 0.249 0.249 0.249
Zr 0.751 0.751 0.751
Te 0.000 0.000 0.000
Cl 0.500 0.500 0.500
CELL_PARAMETERS angstrom
1.712 0.988 8.589
-1.712 0.988 8.589
0.000 -1.977 8.589

[8]
! Mg3Ga3IrPd2 PBE relaxed; values from VASP
! ΔH_f (0 K), eV/atom: -0.55
&SYSTEM
  ibrav = 0, nat = 9, ntyp = 4
/
ATOMIC_SPECIES
Mg 24.30 Mg.upf
Ga 69.72 Ga.upf
Ir 192.22 Ir.upf
Pd 106.42 Pd.upf
ATOMIC_POSITIONS crystal
Mg 0.000 0.385 0.000
Mg 0.385 0.000 0.000
Mg 0.615 0.615 0.000
Ga 0.000 0.718 0.500
Ga 0.282 0.282 0.500
Ga 0.718 0.000 0.500
Ir 0.000 0.000 0.000
Pd 0.333 0.667 0.500
Pd 0.667 0.333 0.500
CELL_PARAMETERS angstrom
7.375 0.000 0.000
-3.687 6.387 0.000
0.000 0.000 3.150

[9]
! Ac3Hg5Te12 PBE relaxed; values from VASP
! Formation energy from raw total energies, eV/atom: -0.50
&SYSTEM
  ibrav = 0, nat = 80, ntyp = 3
/
ATOMIC_SPECIES
Ac 227.00 Ac.upf
Hg 200.59 Hg.upf
Te 127.60 Te.upf
ATOMIC_POSITIONS crystal
Ac 0.125 0.250 0.375
Ac 0.125 0.375 0.750
Ac 0.250 0.375 0.125
Ac 0.250 0.875 0.625
Ac 0.375 0.125 0.250
Ac 0.375 0.750 0.125
Ac 0.625 0.250 0.875
Ac 0.625 0.875 0.750
Ac 0.750 0.125 0.375
Ac 0.750 0.625 0.875
Ac 0.875 0.625 0.250
Ac 0.875 0.750 0.625
Hg 0.000 0.000 0.000
Hg 0.000 0.000 0.500
Hg 0.000 0.500 0.000
Hg 0.000 0.500 0.500
Hg 0.125 0.750 0.875
Hg 0.125 0.875 0.250
Hg 0.250 0.125 0.875
Hg 0.250 0.625 0.375
Hg 0.375 0.250 0.625
Hg 0.375 0.625 0.750
Hg 0.500 0.000 0.000
Hg 0.500 0.000 0.500
Hg 0.500 0.500 0.000
Hg 0.500 0.500 0.500
Hg 0.625 0.375 0.250
Hg 0.625 0.750 0.375
Hg 0.750 0.375 0.625
Hg 0.750 0.875 0.125
Hg 0.875 0.125 0.750
Hg 0.875 0.250 0.125
Te 0.043 0.215 0.130
Te 0.043 0.327 0.913
Te 0.086 0.715 0.673
Te 0.086 0.870 0.413
Te 0.087 0.630 0.414
Te 0.087 0.957 0.673
Te 0.130 0.043 0.215
Te 0.130 0.587 0.914
Te 0.173 0.215 0.586
Te 0.173 0.457 0.587
Te 0.215 0.130 0.043
Te 0.215 0.586 0.173
Te 0.285 0.327 0.914
Te 0.285 0.457 0.370
Te 0.327 0.913 0.043
Te 0.327 0.914 0.285
Te 0.370 0.285 0.457
Te 0.370 0.586 0.913
Te 0.413 0.086 0.870
Te 0.413 0.827 0.543
Te 0.414 0.087 0.630
Te 0.414 0.827 0.785
Te 0.457 0.370 0.285
Te 0.457 0.587 0.173
Te 0.543 0.413 0.827
Te 0.543 0.630 0.715
Te 0.586 0.173 0.215
Te 0.586 0.913 0.370
Te 0.587 0.173 0.457
Te 0.587 0.914 0.130
Te 0.630 0.414 0.087
Te 0.630 0.715 0.543
Te 0.673 0.086 0.715
Te 0.673 0.087 0.957
Te 0.715 0.543 0.630
Te 0.715 0.673 0.086
Te 0.785 0.414 0.827
Te 0.785 0.870 0.957
Te 0.827 0.543 0.413
Te 0.827 0.785 0.414
Te 0.870 0.413 0.086
Te 0.870 0.957 0.785
Te 0.913 0.043 0.327
Te 0.913 0.370 0.586
Te 0.914 0.130 0.587
Te 0.914 0.285 0.327
Te 0.957 0.673 0.087
Te 0.957 0.785 0.870
CELL_PARAMETERS angstrom
-9.101 9.101 9.101
9.101 -9.101 9.101
9.101 9.101 -9.101

[10]
! Na3Er2ScSe6 PBE relaxed; values from VASP
! Formation energy from raw total energies, eV/atom: -1.66
&SYSTEM
  ibrav = 0, nat = 12, ntyp = 4
/
ATOMIC_SPECIES
Na 22.99 Na.upf
Er 167.26 Er.upf
Sc 44.96 Sc.upf
Se 78.96 Se.upf
ATOMIC_POSITIONS crystal
Na 0.000 0.000 0.000
Na 0.332 0.668 0.000
Na 0.668 0.332 0.000
Er 0.166 0.834 0.500
Er 0.834 0.166 0.500
Sc 0.500 0.500 0.500
Se 0.101 0.425 0.275
Se 0.251 0.251 0.724
Se 0.425 0.101 0.275
Se 0.575 0.899 0.725
Se 0.749 0.749 0.276
Se 0.899 0.575 0.725
CELL_PARAMETERS angstrom
3.514 -6.088 0.000
3.514 6.088 0.000
-2.347 0.000 6.987

[11]
! Mn2Ga2Se5 PBE relaxed; values from VASP
! Formation energy from raw total energies, eV/atom: -0.41
&SYSTEM
  ibrav = 0, nat = 9, ntyp = 3
/
ATOMIC_SPECIES
Mn 54.94 Mn.upf
Ga 69.72 Ga.upf
Se 78.96 Se.upf
ATOMIC_POSITIONS crystal
Mn 0.071 0.071 0.285
Mn 0.929 0.929 0.715
Ga 0.380 0.380 0.097
Ga 0.620 0.620 0.903
Se 0.172 0.172 0.113
Se 0.392 0.392 0.463
Se 0.500 0.500 0.000
Se 0.608 0.608 0.537
Se 0.828 0.828 0.887
CELL_PARAMETERS angstrom
10.175 -1.932 0.000
10.175 1.932 0.000
-1.851 0.000 6.333

[12]
! Hg2SbPb2 PBE relaxed; values from VASP
! Formation energy from raw total energies, eV/atom: 0.06
! ΔE to the lowest computed polymorph, kJ/mol of formula units: 19
&SYSTEM
  ibrav = 0, nat = 5, ntyp = 3
/
ATOMIC_SPECIES
Hg 200.59 Hg.upf
Sb 121.76 Sb.upf
Pb 207.20 Pb.upf
ATOMIC_POSITIONS crystal
Hg 0.250 0.750 0.500
Hg 0.750 0.250 0.500
Sb 0.000 0.000 0.000
Pb 0.408 0.408 0.000
Pb 0.592 0.592 0.000
CELL_PARAMETERS angstrom
-2.090 2.090 8.796
2.090 -2.090 8.796
2.090 2.090 -8.796

[13]
! Tc2MoP PBE relaxed; values from VASP
! ΔH_f (0 K), eV/atom: -0.02
&SYSTEM
  ibrav = 0, nat = 4, ntyp = 3
/
ATOMIC_SPECIES
Tc 98.00 Tc.upf
Mo 95.94 Mo.upf
P 30.97 P.upf
ATOMIC_POSITIONS crystal
Tc 0.242 0.242 0.242
Tc 0.758 0.758 0.758
Mo 0.000 0.000 0.000
P 0.500 0.500 0.500
CELL_PARAMETERS angstrom
1.424 0.822 8.172
-1.424 0.822 8.172
0.000 -1.645 8.172

[14]
! PrTlHgGe PBE relaxed; values from VASP
! ΔH_f (0 K), eV/atom: -0.23
&SYSTEM
  ibrav = 0, nat = 4, ntyp = 4
/
ATOMIC_SPECIES
Pr 140.91 Pr.upf
Tl 204.38 Tl.upf
Hg 200.59 Hg.upf
Ge 72.64 Ge.upf
ATOMIC_POSITIONS crystal
Pr 0.000 0.000 0.000
Tl 0.500 0.500 0.500
Hg 0.250 0.250 0.250
Ge 0.750 0.750 0.750
CELL_PARAMETERS angstrom
0.000 3.753 3.753
3.753 0.000 3.753
3.753 3.753 0.000

[15]
! Sr2InRh2 PBE relaxed; values from VASP
! ΔH_f (0 K), eV/atom: -0.10
&SYSTEM
  ibrav = 0, nat = 5, ntyp = 3
/
ATOMIC_SPECIES
Sr 87.62 Sr.upf
In 114.82 In.upf
Rh 102.91 Rh.upf
ATOMIC_POSITIONS crystal
Sr 0.250 0.750 0.500
Sr 0.750 0.250 0.500
In 0.000 0.000 0.000
Rh 0.333 0.333 0.000
Rh 0.667 0.667 0.000
CELL_PARAMETERS angstrom
-2.963 2.963 3.933
2.963 -2.963 3.933
2.963 2.963 -3.933

Computed total DFT energy (no corrections) (eV per atom) in order:
-5.2925, -6.8402, -8.4281, -4.7434, -4.0286, -3.8261, -6.0635, -4.2321, -3.0753, -5.0211, -5.0519, -2.3640, -9.2663, -3.2418, -4.2569